Dy5Ho2Ga4: optimized geometry, PBE.

Its total moment is 0.000 μB per formula unit. The value obtained for the density of states at the Fermi level is 24.977 states/eV per cell. The value obtained for the energy of formation from the pure elements is -0.0306 eV/atom.

It has space group Immm (No. 71), with a = 4.642 Å, b = 10.814 Å, c = 13.335 Å, α = 90.00°, β = 90.00° and γ = 90.00°. Symmetry generates all atoms from Dy at (0.000, 0.000, 0.000), Dy at (0.000, 0.168, 0.350), Ho at (0.000, 0.500, 0.304), Ga at (0.000, 0.358, 0.500) and Ga at (0.000, 0.500, 0.093).